(1)
# TlPb4N2

A geometry-optimized TlPb4N2 structure (GGA-PBE, Alexandria).

formation energy from raw total energies: 53.0 kJ/mol of atoms
theoretical density: 9.34 g cm⁻³
DFT total energy: -4.287 eV/atom
Fermi-level density of states: 0.29 states/eV/atom

Cell and atoms, written as POSCAR:
```
TlPb4N2
1.0
3.3969 0.0014 -0.0003
0.0025 5.8758 -1.2228
-0.0014 -1.2759 9.7138
Tl N Pb
1 2 4
Direct
0.0000 0.5000 0.0000 Tl
0.5000 0.2069 0.4257 N
0.5000 0.7931 0.5743 N
0.0000 0.7040 0.4125 Pb
0.0000 0.2960 0.5875 Pb
0.5000 0.0928 0.1890 Pb
0.5000 0.9072 0.8110 Pb
```

---

(2)
# AlTeH

A geometry-optimized AlTeH structure (GGA-PBE, Alexandria).

theoretical density: 4.15 g cm⁻³
DFT total energy: -3.552 eV/atom
Fermi-level density of states: 0.01 states/eV/atom

Cell and atoms, written as POSCAR:
```
AlTeH
1.0
6.8644 0.0000 0.0000
0.0000 7.4706 -1.7230
0.0000 1.0625 4.6072
Te Al H
4 4 4
Direct
0.3281 0.5979 0.7500 Te
0.8281 0.9021 0.7500 Te
0.6719 0.4021 0.2500 Te
0.1719 0.0979 0.2500 Te
0.7513 0.7442 0.2500 Al
0.2513 0.7558 0.2500 Al
0.2487 0.2558 0.7500 Al
0.7487 0.2442 0.7500 Al
0.0071 0.7029 0.2501 H
0.9929 0.2971 0.7499 H
0.5071 0.7971 0.2499 H
0.4929 0.2029 0.7501 H
```

---

(3)
# UGeRhO

A geometry-optimized UGeRhO structure (GGA-PBE, Alexandria).

formation energy from raw total energies: -151.6 kJ/mol of atoms
theoretical density: 10.98 g cm⁻³
DFT total energy: -8.625 eV/atom
Fermi-level density of states: 1.74 states/eV/atom

Cell and atoms, written as POSCAR:
```
UGeRhO
1.0
-0.5904 -0.5366 -3.9609
1.9049 -3.5577 0.1981
-6.9220 -3.6216 1.5224
Ge U Rh O
2 2 2 2
Direct
0.0000 0.5000 0.8251 Ge
0.5000 0.0000 0.1749 Ge
0.0000 0.5000 0.3536 U
0.5000 0.0000 0.6464 U
0.0000 0.0000 0.0000 Rh
0.5000 0.5000 0.0000 Rh
0.5000 0.5000 0.5000 O
0.0000 0.0000 0.5000 O
```

---

(4)
# ZrHg2Rh

A geometry-optimized ZrHg2Rh structure (GGA-PBE, Alexandria).

theoretical density: 12.57 g cm⁻³
DFT total energy: -4.213 eV/atom
calculated formation energy: -87 meV/atom
Fermi-level density of states: 0.74 states/eV/atom

Cell and atoms, written as POSCAR:
```
ZrHg2Rh
1.0
3.8924 0.0000 0.0000
0.0000 4.2367 0.0000
0.0000 0.0000 4.7701
Rh Hg Zr
1 2 1
Direct
0.5000 0.0000 0.5000 Rh
0.5000 0.5000 0.0000 Hg
0.0000 0.0000 0.0000 Hg
0.0000 0.5000 0.5000 Zr
```

---

(5)
# PmNd5Tm3

A geometry-optimized PmNd5Tm3 structure (GGA-PBE, Alexandria).

theoretical density: 7.25 g cm⁻³
DFT total energy: -4.398 eV/atom
calculated formation energy: 270 meV/atom
Fermi-level density of states: 1.32 states/eV/atom

Cell and atoms, written as POSCAR:
```
PmNd5Tm3
1.0
6.4254 0.0000 0.0000
-3.2127 8.7422 -3.0761
0.0000 -0.4743 11.3611
Nd Tm Pm
10 6 2
Direct
0.5449 0.6630 0.2915 Nd
0.3912 0.0000 0.2500 Nd
0.6088 0.0000 0.7500 Nd
0.5294 0.6804 0.9806 Nd
0.1181 0.6630 0.7915 Nd
0.8819 0.3370 0.2085 Nd
0.4706 0.3196 0.0194 Nd
0.8490 0.3196 0.5194 Nd
0.1510 0.6804 0.4806 Nd
0.4551 0.3370 0.7085 Nd
0.0000 0.0000 0.0000 Tm
0.9934 0.3377 0.8761 Tm
0.0066 0.6623 0.1239 Tm
0.0000 0.0000 0.5000 Tm
0.6557 0.6623 0.6239 Tm
0.3443 0.3377 0.3761 Tm
0.8627 0.0000 0.2500 Pm
0.1373 0.0000 0.7500 Pm
```

---

(6)
# TbHo2ErRh4

A geometry-optimized TbHo2ErRh4 structure (GGA-PBE, Alexandria).

theoretical density: 11.14 g cm⁻³
DFT total energy: -6.873 eV/atom
calculated formation energy: -904 meV/atom
Fermi-level density of states: 0.41 states/eV/atom

Cell and atoms, written as POSCAR:
```
TbHo2ErRh4
1.0
-0.2937 -3.4995 -3.3090
1.6189 -4.4290 1.0223
-6.6948 -4.6220 1.9644
Tb Ho Rh Er
1 2 4 1
Direct
0.0000 0.0000 0.0000 Tb
0.7505 0.7505 0.7484 Ho
0.2495 0.2495 0.2516 Ho
0.6243 0.6243 0.1271 Rh
0.1256 0.1256 0.6231 Rh
0.3757 0.3757 0.8729 Rh
0.8744 0.8744 0.3769 Rh
0.5000 0.5000 0.5000 Er
```

---

(7)
# TlOsSe

A geometry-optimized TlOsSe structure (GGA-PBE, Alexandria).

formation energy from raw total energies: 68.1 kJ/mol of atoms
theoretical density: 11.87 g cm⁻³
DFT total energy: -4.988 eV/atom
Fermi-level density of states: 0.64 states/eV/atom

Cell and atoms, written as POSCAR:
```
TlOsSe
1.0
-0.6999 -5.5497 6.5027
-1.1464 -7.2011 3.9496
2.7368 0.0089 1.3979
Se Os Tl
1 1 1
Direct
0.3700 0.3700 0.6300 Se
0.9850 0.9850 0.0150 Os
0.6449 0.6449 0.3551 Tl
```

---

(8)
# K2CoAsCl

A geometry-optimized K2CoAsCl structure (GGA-PBE, Alexandria).

formation energy from raw total energies: -43.8 kJ/mol of atoms
theoretical density: 2.47 g cm⁻³
DFT total energy: -3.613 eV/atom
Fermi-level density of states: 1.14 states/eV/atom

Cell and atoms, written as POSCAR:
```
K2CoAsCl
1.0
6.2136 0.0000 0.0000
0.0000 4.3093 0.0000
0.0000 0.0000 6.2136
K Cl Co As
2 1 1 1
Direct
0.0000 0.0000 0.5000 K
0.5000 0.0000 0.0000 K
0.5000 0.5000 0.5000 Cl
0.0000 0.0000 0.0000 Co
0.0000 0.5000 0.0000 As
```